1.
A plane-wave DFT calculation with PBE was carried out for a geometry-optimized RbSN2Cl structure.

The structure in POSCAR format:
```
RbSN2Cl
1.0
-4.152 -1.975 -1.177
1.985 -4.305 0.220
-1.181 -0.305 4.676
S N Rb Cl
1 2 1 1
Direct
0.000 0.000 0.500 S
0.000 0.500 0.000 N
0.500 0.000 0.000 N
0.500 0.500 0.500 Rb
0.000 0.000 0.000 Cl
```

**ΔE to the lowest computed polymorph**: 699.5 meV/atom
**Formation energy from raw total energies**: 1751.9 meV/atom

2.
A plane-wave DFT calculation with PBE was carried out for a geometry-optimized Ta4GeRu5 structure.

The structure in POSCAR format:
```
Ta4GeRu5
1.0
-1.777 0.220 2.661
-1.373 -2.817 -0.684
10.917 -7.236 7.891
Ta Ge Ru
4 1 5
Direct
0.000 0.000 0.195 Ta
0.000 0.000 0.397 Ta
0.000 0.000 0.603 Ta
0.000 0.000 0.805 Ta
0.000 0.000 0.000 Ge
0.500 0.500 0.096 Ru
0.500 0.500 0.298 Ru
0.500 0.500 0.500 Ru
0.500 0.500 0.702 Ru
0.500 0.500 0.904 Ru
```

3.
A plane-wave DFT calculation with PBE was carried out for a geometry-optimized Li3CuS2 structure.

The structure in POSCAR format:
```
Li3CuS2
1.0
-4.796 6.340 -0.218
0.466 -3.223 -7.255
-2.921 -5.359 5.099
Li Cu S
12 4 8
Direct
0.866 0.250 0.116 Li
0.866 0.116 0.750 Li
0.634 0.384 0.250 Li
0.750 0.384 0.634 Li
0.750 0.866 0.116 Li
0.634 0.750 0.384 Li
0.384 0.250 0.634 Li
0.250 0.634 0.384 Li
0.250 0.116 0.866 Li
0.116 0.866 0.250 Li
0.384 0.634 0.750 Li
0.116 0.750 0.866 Li
0.500 0.000 0.250 Cu
0.250 0.500 0.000 Cu
0.250 0.250 0.250 Cu
0.000 0.250 0.500 Cu
0.981 0.500 0.000 S
0.519 0.500 0.000 S
0.500 0.000 0.519 S
0.500 0.000 0.981 S
0.519 0.519 0.519 S
0.981 0.981 0.981 S
0.000 0.519 0.500 S
0.000 0.981 0.500 S
```

**Formation energy from raw total energies**: -967.5 meV/atom

4.
A plane-wave DFT calculation with PBE was carried out for a geometry-optimized TmMn6Ge6 structure.

The structure in POSCAR format:
```
TmMn6Ge6
1.0
5.159 0.000 0.000
2.580 6.030 0.213
2.580 0.358 6.023
Tm Mn Ge
1 6 6
Direct
0.000 0.000 0.000 Tm
0.000 0.500 0.000 Mn
0.500 0.500 0.000 Mn
0.000 0.000 0.500 Mn
0.500 0.000 0.500 Mn
0.500 0.748 0.252 Mn
0.500 0.252 0.748 Mn
0.335 0.665 0.665 Ge
0.665 0.335 0.335 Ge
0.000 0.344 0.656 Ge
0.000 0.656 0.344 Ge
0.333 0.167 0.167 Ge
0.667 0.833 0.833 Ge
```

**ΔE to the lowest computed polymorph**: 3.3 meV/atom

Energy / eV/atom: -2.967; -10.136; -3.983; -7.022